# 1
LiZnTe2 | GGA-PBE | optimized geometry

abc: 3.4154 3.4154 8.0450
angles: 90.00 90.00 90.00
Closest atoms and distances in Å follow each position.
Atoms (fractional coordinates):
Li (0.0000, 0.0000, 0.0000)  8 Te 3.14, 4 Li 3.42
Zn (0.0000, 0.0000, 0.5000)  8 Te 3.14, 4 Zn 3.42
Te (0.5000, 0.5000, 0.2499)  4 Li 3.14, 4 Zn 3.14, 4 Te 3.42
Te (0.5000, 0.5000, 0.7501)  4 Li 3.14, 4 Zn 3.14, 4 Te 3.42

Output
Energy relative to the elements, uncorrected in eV per atom: -0.141


# 2
KZrS3 | GGA-PBE | optimized geometry

abc: 9.4719 8.4531 8.5250
angles: 90.00 110.97 90.00
Closest atoms and distances in Å follow each position.
Atoms (fractional coordinates):
K (0.1126, 0.2348, 0.0425)  6 S 3.18-3.38
K (0.1126, 0.2652, 0.5425)  6 S 3.18-3.38
K (0.8874, 0.7348, 0.4575)  6 S 3.18-3.38
K (0.8874, 0.7652, 0.9575)  6 S 3.18-3.38
Zr (0.3305, 0.6087, 0.8757)  5 S 2.40-2.62
Zr (0.3305, 0.8913, 0.3757)  5 S 2.40-2.62
Zr (0.6695, 0.1087, 0.6243)  5 S 2.40-2.62
Zr (0.6695, 0.3913, 0.1243)  5 S 2.40-2.62
S (0.0674, 0.5443, 0.7924)  1 Zr 2.40
S (0.0674, 0.9557, 0.2924)  1 Zr 2.40
S (0.3182, 0.6902, 0.5945)  2 Zr 2.46-2.56
S (0.3182, 0.8098, 0.0945)  2 Zr 2.46-2.56
S (0.3973, 0.1758, 0.4140)  2 Zr 2.48-2.62
S (0.3973, 0.3242, 0.9140)  2 Zr 2.48-2.62
S (0.6027, 0.6758, 0.0860)  2 Zr 2.48-2.62
S (0.6027, 0.8242, 0.5860)  2 Zr 2.48-2.62
S (0.6818, 0.1902, 0.9055)  2 Zr 2.46-2.56
S (0.6818, 0.3098, 0.4055)  2 Zr 2.46-2.56
S (0.9326, 0.0443, 0.7076)  1 Zr 2.40
S (0.9326, 0.4557, 0.2076)  1 Zr 2.40

Output
Energy relative to the elements, uncorrected in eV per atom: -1.080


# 3
BaHgBiPb | GGA-PBE | optimized geometry

abc: 5.3199 5.3199 6.4194
angles: 90.11 90.11 59.82
Closest atoms and distances in Å follow each position.
Atoms (fractional coordinates):
Ba (0.0000, 0.0000, 0.0000)  3 Hg 3.42-3.43, 3 Pb 3.63
Hg (0.3329, 0.3329, 0.2369)  1 Pb 2.95
Bi (0.6652, 0.6652, 0.5249)  3 Pb 3.26-3.27, 3 Hg 3.58-3.59
Pb (0.3323, 0.3323, 0.6971)  1 Hg 2.95, 3 Bi 3.26-3.27

Output
Energy of formation in meV per atom: -326


# 4
CaNd2PuAs4 | GGA-PBE | optimized geometry

abc: 7.3051 4.2424 7.3069
angles: 90.00 109.28 90.00
Closest atoms and distances in Å follow each position.
Atoms (fractional coordinates):
Ca (0.0000, 0.0000, 0.0000)  6 As 2.99-3.00
Nd (0.5000, 0.0000, 0.5000)  6 As 2.98-2.99
Nd (0.5000, 0.5000, 0.0000)  6 As 3.05-3.06
Pu (0.0000, 0.5000, 0.5000)  6 As 2.90-2.94
As (0.2407, 0.0000, 0.7399)  2 Pu 2.94, 3 Nd 2.98-3.05, 1 Ca 2.99
As (0.2441, 0.5000, 0.2577)  1 Pu 2.90, 3 Nd 2.99-3.06, 2 Ca 3.00
As (0.7559, 0.5000, 0.7423)  1 Pu 2.90, 3 Nd 2.99-3.06, 2 Ca 3.00
As (0.7593, 0.0000, 0.2601)  2 Pu 2.94, 3 Nd 2.98-3.05, 1 Ca 2.99

Output
Energy of formation in meV per atom: -1239


# 5
PH3W | GGA-PBE | optimized geometry

abc: 3.5352 3.5352 3.5352
angles: 90.00 90.00 90.00
Closest atoms and distances in Å follow each position.
Atoms (fractional coordinates):
P (0.0000, 0.0000, 0.0000)  12 H 2.50
H (0.0000, 0.5000, 0.5000)  2 W 1.77
H (0.5000, 0.0000, 0.5000)  2 W 1.77
H (0.5000, 0.5000, 0.0000)  2 W 1.77
W (0.5000, 0.5000, 0.5000)  6 H 1.77


# 6
Hf2SbP | GGA-PBE | optimized geometry

abc: 3.8062 3.8062 13.2051
angles: 90.00 90.00 120.00
Closest atoms and distances in Å follow each position.
Atoms (fractional coordinates):
Hf (0.3333, 0.6667, 0.1021)  3 P 2.58
Hf (0.3333, 0.6667, 0.3979)  3 P 2.58
Hf (0.6667, 0.3333, 0.6021)  3 P 2.58
Hf (0.6667, 0.3333, 0.8979)  3 P 2.58
Sb (0.3333, 0.6667, 0.7500)  6 Hf 2.94
Sb (0.6667, 0.3333, 0.2500)  6 Hf 2.94
P (0.0000, 0.0000, 0.0000)  6 Hf 2.58
P (0.0000, 0.0000, 0.5000)  6 Hf 2.58

Output
Energy relative to the elements, uncorrected in eV per atom: -0.987


# 7
Tb2PmYS6 | GGA-PBE | optimized geometry

abc: 7.4071 7.4071 7.4071
angles: 56.31 56.31 56.31
Closest atoms and distances in Å follow each position.
Atoms (fractional coordinates):
Tb (0.0000, 0.0000, 0.0000)  6 S 2.73-2.80
Tb (0.4976, 0.4976, 0.4976)  6 S 2.73-2.80
Pm (0.2035, 0.2035, 0.2035)  6 S 2.78-2.88
Y (0.6998, 0.6998, 0.6998)  6 S 2.73-2.79
S (0.0989, 0.4009, 0.7959)  2 Tb 2.73-2.80, 1 Y 2.73, 1 Pm 2.88
S (0.2977, 0.8893, 0.6103)  2 Tb 2.73-2.80, 1 Pm 2.78, 1 Y 2.79
S (0.4009, 0.7959, 0.0989)  2 Tb 2.73-2.80, 1 Y 2.73, 1 Pm 2.88
S (0.6103, 0.2977, 0.8893)  2 Tb 2.73-2.80, 1 Pm 2.78, 1 Y 2.79
S (0.7959, 0.0989, 0.4009)  2 Tb 2.73-2.80, 1 Y 2.73, 1 Pm 2.88
S (0.8893, 0.6103, 0.2977)  2 Tb 2.73-2.80, 1 Pm 2.78, 1 Y 2.79

Output
Energy relative to the elements, uncorrected in eV per atom: -2.051


# 8
Ba2PbCl | GGA-PBE | optimized geometry

abc: 4.5796 4.1309 9.0198
angles: 90.00 90.24 90.00
Closest atoms and distances in Å follow each position.
Atoms (fractional coordinates):
Ba (0.0022, 0.0000, 0.2256)  2 Cl 3.22
Ba (0.9978, 0.0000, 0.7744)  2 Cl 3.22
Pb (0.5000, 0.5000, 0.0000)  8 Ba 3.69-3.70, 2 Pb 4.13
Cl (0.0000, 0.5000, 0.5000)  4 Ba 3.22

Output
Energy relative to the elements, uncorrected in eV per atom: -1.224


no.,total DFT energy (no corrections) (eV per cell)
1,-10.03
2,-109.70
3,-11.12
4,-54.38
5,-24.73
6,-66.77
7,-65.75
8,-14.30